[1]
## K2TbBiO4 (GGA-PBE)

Data for crystalline K2TbBiO4 at its relaxed geometry.

Cell: 3.5550 6.1826 6.6129 Å, 107.99 90.00 90.00°
With the nearest neighbours (Å) after each atom.
Fractional coordinates of all 8 atoms:
O: 0.0000 0.2808 0.8102  2 Tb 2.35, 1 Bi 2.44
K: 0.0000 0.5000 0.5000  6 O 2.77-2.79
O: 0.5000 0.2451 0.1978  1 Tb 2.34, 2 Bi 2.44
K: 0.5000 0.0000 0.5000  6 O 2.86
O: 0.5000 0.7549 0.8022  1 Tb 2.34, 2 Bi 2.44
O: 0.0000 0.7192 0.1898  2 Tb 2.35, 1 Bi 2.44
Bi: 0.0000 0.0000 0.0000  6 O 2.44
Tb: 0.5000 0.5000 0.0000  6 O 2.34-2.35



[2]
## K2Tb2BiO6 (GGA-PBE)

Data for crystalline K2Tb2BiO6 at its relaxed geometry.

Cell: 6.0458 6.0458 6.6973 Å, 98.30 98.30 120.00°
With the nearest neighbours (Å) after each atom.
Fractional coordinates of all 11 atoms:
O: 0.0507 0.3902 0.6787  2 Tb 2.29-2.34, 1 Bi 2.33
O: 0.3902 0.0507 0.6787  2 Tb 2.29-2.34, 1 Bi 2.33
K: 0.1656 0.8344 0.0000  6 O 2.84-2.89
K: 0.8344 0.1656 0.0000  6 O 2.84-2.89
O: 0.9493 0.6098 0.3213  2 Tb 2.29-2.34, 1 Bi 2.33
O: 0.2667 0.2667 0.3199  1 Bi 2.28, 2 Tb 2.34
O: 0.6098 0.9493 0.3213  2 Tb 2.29-2.34, 1 Bi 2.33
Tb: 0.6654 0.3346 0.5000  6 O 2.29-2.34
Tb: 0.3346 0.6654 0.5000  6 O 2.29-2.34
O: 0.7333 0.7333 0.6801  1 Bi 2.28, 2 Tb 2.34
Bi: 0.0000 0.0000 0.5000  6 O 2.28-2.33



[3]
## K2TbBi2O6 (GGA-PBE)

Data for crystalline K2TbBi2O6 at its relaxed geometry.

Cell: 6.1052 6.1052 6.7476 Å, 98.92 98.92 119.61°
With the nearest neighbours (Å) after each atom.
Fractional coordinates of all 11 atoms:
O: 0.3914 0.0523 0.6811  2 Bi 2.32-2.39, 1 Tb 2.35
K: 0.8306 0.1694 0.0000  6 O 2.85-2.88
O: 0.6086 0.9477 0.3189  2 Bi 2.32-2.39, 1 Tb 2.35
O: 0.0523 0.3914 0.6811  2 Bi 2.32-2.39, 1 Tb 2.35
K: 0.1694 0.8306 0.0000  6 O 2.85-2.88
O: 0.2548 0.2548 0.3145  1 Tb 2.29, 2 Bi 2.39
Tb: 0.0000 0.0000 0.5000  6 O 2.29-2.35
Bi: 0.6649 0.3351 0.5000  6 O 2.32-2.39
Bi: 0.3351 0.6649 0.5000  6 O 2.32-2.39
O: 0.9477 0.6086 0.3189  2 Bi 2.32-2.39, 1 Tb 2.35
O: 0.7452 0.7452 0.6855  1 Tb 2.29, 2 Bi 2.39



[4]
## KTc2BiO8 (GGA-PBE)

Data for crystalline KTc2BiO8 at its relaxed geometry.

Cell: 5.9788 5.9788 7.8441 Å, 90.00 90.00 120.00°
With the nearest neighbours (Å) after each atom.
Fractional coordinates of all 12 atoms:
O: 0.1813 0.8426 0.6992  1 Tc 1.80
K: 0.0000 0.0000 0.0000  6 O 2.94
Tc: 0.3333 0.6667 0.7754  4 O 1.74-1.80
O: 0.3333 0.6667 0.9970  1 Tc 1.74
O: 0.8426 0.6613 0.3008  1 Tc 1.80
O: 0.6667 0.3333 0.0030  1 Tc 1.74
Bi: 0.0000 0.0000 0.5000  6 O 2.35
O: 0.1574 0.3387 0.6992  1 Tc 1.80
O: 0.3387 0.1813 0.3008  1 Tc 1.80
O: 0.8187 0.1574 0.3008  1 Tc 1.80
Tc: 0.6667 0.3333 0.2246  4 O 1.74-1.80
O: 0.6613 0.8187 0.6992  1 Tc 1.80



[5]
## K3TcBi3O8 (GGA-PBE)

Data for crystalline K3TcBi3O8 at its relaxed geometry.

Cell: 7.0034 7.0039 7.5165 Å, 117.79 90.00 120.00°
With the nearest neighbours (Å) after each atom.
Fractional coordinates of all 15 atoms:
O: 0.2651 0.5302 0.2954  3 Bi 2.40
O: 0.7349 0.4698 0.7046  3 Bi 2.40
O: 0.7670 0.9722 0.6772  1 Tc 2.10
O: 0.2052 0.4104 0.6772  1 Tc 2.10
O: 0.7948 0.0278 0.3229  1 Tc 2.10
K: 0.5000 0.5000 0.0000  6 O 2.76-2.80
O: 0.2052 0.9722 0.6772  1 Tc 2.10
O: 0.7948 0.5896 0.3228  1 Tc 2.10
O: 0.2330 0.0278 0.3229  1 Tc 2.10
K: 0.0000 0.0000 0.0000  6 O 2.75-2.80
Bi: 0.0000 0.5000 0.5000  6 O 2.40-2.43
Tc: 0.0000 0.0000 0.5000  6 O 2.10
Bi: 0.5000 0.5000 0.5000  6 O 2.40-2.43
K: 0.0000 0.5000 0.0000  6 O 2.76-2.80
Bi: 0.5000 0.0000 0.5000  6 O 2.40-2.43



[6]
## KTcBi2O6 (GGA-PBE)

Data for crystalline KTcBi2O6 at its relaxed geometry.

Cell: 6.6107 8.5339 8.5339 Å, 105.69 77.41 77.41°
With the nearest neighbours (Å) after each atom.
Fractional coordinates of all 20 atoms:
Bi: 0.1409 0.4556 0.2773  3 O 2.20-2.31
Bi: 0.3591 0.7227 0.5444  3 O 2.20-2.31
O: 0.5036 0.8383 0.3148  1 Tc 1.82
Tc: 0.7500 0.8334 0.1666  4 O 1.82-1.88
O: 0.2059 0.9507 0.7957  1 Tc 1.88
O: 0.0463 0.6618 0.5671  2 Bi 2.20-2.22
O: 0.9964 0.6852 0.1617  1 Tc 1.82
O: 0.5463 0.5671 0.6618  2 Bi 2.20-2.22
O: 0.7941 0.0493 0.2043  1 Tc 1.88
Bi: 0.8591 0.5444 0.7227  3 O 2.20-2.31
O: 0.2941 0.2043 0.0493  1 Tc 1.88
K: 0.2500 0.9028 0.0972  6 O 2.78-2.84
Bi: 0.6409 0.2773 0.4556  3 O 2.20-2.31
K: 0.7500 0.0972 0.9028  6 O 2.78-2.84
Tc: 0.2500 0.1666 0.8334  4 O 1.82-1.88
O: 0.7059 0.7957 0.9507  1 Tc 1.88
O: 0.4964 0.1617 0.6852  1 Tc 1.82
O: 0.0036 0.3148 0.8383  1 Tc 1.82
O: 0.9537 0.3382 0.4329  2 Bi 2.20-2.22
O: 0.4537 0.4329 0.3382  2 Bi 2.20-2.22



no.,size of the total moment (μB/f.u.),ΔE_f (raw) (eV per atom)
1,0.0,-2.043
2,0.8,-2.270
3,0.0,-1.753
4,2.1,-1.405
5,3.0,-1.316
6,2.0,-1.278